(1)
# LaPmHoTm2 (PBE, optimized geometry)
data_LaPmHoTm2
_space_group_name_H-M_alt 'C m c m'
_space_group_IT_number 63
_space_group_name_Hall '-C 2c 2'
_cell_length_a 8.4124
_cell_length_b 11.4942
_cell_length_c 7.2071
_cell_angle_alpha 90.00
_cell_angle_beta 90.00
_cell_angle_gamma 90.00
loop_
_atom_site_label
_atom_site_fract_x
_atom_site_fract_y
_atom_site_fract_z
La1 0.0000 0.2344 0.2500
Pm1 0.0000 0.4994 0.7500
Ho1 0.0000 0.2159 0.7500
Tm1 0.1871 0.0000 0.0000
# M_tot in μB/f.u.: 0.00
# DOS(E_F) in states/eV/cell: 31.136
# ρ in Mg/m³: 7.5
# ΔH_f (0 K) in meV/atom: 357.2

***

(2)
# ReGe3B (PBE, optimized geometry)
data_ReGe3B
_space_group_name_H-M_alt 'P m -3 m'
_space_group_IT_number 221
_space_group_name_Hall '-P 4 2 3'
_cell_length_a 4.2765
_cell_length_b 4.2765
_cell_length_c 4.2765
_cell_angle_alpha 90.00
_cell_angle_beta 90.00
_cell_angle_gamma 90.00
loop_
_atom_site_label
_atom_site_fract_x
_atom_site_fract_y
_atom_site_fract_z
Re1 0.0000 0.0000 0.0000
Ge1 0.0000 0.5000 0.5000
B1 0.5000 0.5000 0.5000
# M_tot in μB/f.u.: 1.20
# Excess energy over the best structure of this formula in the dataset in eV per atom: 0.000
# DOS(E_F) in states/eV/cell: 4.091
# ρ in Mg/m³: 8.8
# ΔH_f (0 K) in meV/atom: 1211.7